Density functional theory data (PBE) for a relaxed Tl3P crystal.

Results
DFT formation energy ... 0.689 eV per formula unit
Total magnetic moment ... 0.0000 μB/atom
Crystal system ... orthorhombic

```
data_Tl3P
_cell_length_a 3.850
_cell_length_b 5.293
_cell_length_c 11.177
_cell_angle_alpha 90.00
_cell_angle_beta 90.00
_cell_angle_gamma 90.00
_space_group_name_H-M_alt 'I m m m'
_space_group_IT_number 71
_space_group_name_Hall '-I 2 2'
loop_
_atom_site_label
_atom_site_type_symbol
_atom_site_fract_x
_atom_site_fract_y
_atom_site_fract_z
_atom_site_occupancy
Tl1 Tl 0.000 0.000 0.000 1
Tl2 Tl 0.000 0.500 0.194 1
P1 P 0.000 0.000 0.500 1
```

Density functional theory data (PBE) for a relaxed ZnIn3AsSe4 crystal.

Results
Formation energy (no corrections) ... -0.518 eV per atom
Total magnetic moment ... 0.0000 μB/atom
Crystal system ... triclinic

```
data_ZnIn3AsSe4
_cell_length_a 5.928
_cell_length_b 7.229
_cell_length_c 7.272
_cell_angle_alpha 80.72
_cell_angle_beta 65.95
_cell_angle_gamma 65.99
_space_group_name_H-M_alt 'P 1'
_space_group_IT_number 1
_space_group_name_Hall 'P 1'
loop_
_atom_site_label
_atom_site_type_symbol
_atom_site_fract_x
_atom_site_fract_y
_atom_site_fract_z
_atom_site_occupancy
Zn1 Zn 0.000 0.000 0.000 1
In1 In 0.176 0.406 0.195 1
In2 In 0.577 0.206 0.600 1
In3 In 0.776 0.613 0.808 1
As1 As 0.655 0.288 0.905 1
Se1 Se 0.049 0.083 0.299 1
Se2 Se 0.238 0.535 0.490 1
Se3 Se 0.414 0.901 0.688 1
Se4 Se 0.807 0.731 0.120 1
```

Density functional theory data (PBE) for a relaxed SnSb crystal.

Results
Formation energy (no corrections) ... 0.059 eV per atom
Total magnetic moment ... 0.0000 μB/atom
Crystal system ... monoclinic

```
data_SnSb
_cell_length_a 8.762
_cell_length_b 5.019
_cell_length_c 6.879
_cell_angle_alpha 90.00
_cell_angle_beta 115.20
_cell_angle_gamma 90.00
_space_group_name_H-M_alt 'C 1 2/m 1'
_space_group_IT_number 12
_space_group_name_Hall '-C 2y'
loop_
_atom_site_label
_atom_site_type_symbol
_atom_site_fract_x
_atom_site_fract_y
_atom_site_fract_z
_atom_site_occupancy
Sn1 Sn 0.110 0.000 0.331 1
Sb1 Sb 0.231 0.500 0.192 1
```

Density functional theory data (PBE) for a relaxed Mg4CuOs crystal.

Results
DFT formation energy ... 3.705 eV per formula unit
Total magnetic moment ... 0.0000 μB/atom
Crystal system ... cubic

```
data_Mg4CuOs
_cell_length_a 7.503
_cell_length_b 7.503
_cell_length_c 7.503
_cell_angle_alpha 90.00
_cell_angle_beta 90.00
_cell_angle_gamma 90.00
_space_group_name_H-M_alt 'F -4 3 m'
_space_group_IT_number 216
_space_group_name_Hall 'F -4 2 3'
loop_
_atom_site_label
_atom_site_type_symbol
_atom_site_fract_x
_atom_site_fract_y
_atom_site_fract_z
_atom_site_occupancy
Mg1 Mg 0.125 0.125 0.125 1
Cu1 Cu 0.000 0.000 0.500 1
Os1 Os 0.250 0.250 0.750 1
```

no.,calculated volume (Å³ per atom),VASP energy (eV per atom)
1,28.47,-2.955
2,28.89,-3.637
3,34.21,-4.004
4,17.60,-3.000